Entry a
## CeTm2Sb (PBE-GGA)

Data for a relaxed CeTm2Sb crystal.

```
4
Lattice="5.3029 0.0000 0.0000 2.6515 4.5925 0.0000 2.6515 1.5308 4.3304" Properties=species:S:1:pos:R:3 pbc="T T T"
Sb 0.0000 0.0000 0.0000
Tm 2.6515 1.5308 1.0834
Tm 7.9544 4.5925 3.2470
Ce 5.3029 3.0616 2.1652
```

Magnetic moment ... 1.67 μB/cell
Space group ... Fm-3m


Entry b
## CeTm2Sb (PBE-GGA)

Data for a relaxed CeTm2Sb crystal.

```
4
Lattice="3.8928 0.0000 0.0000 0.0000 3.8928 0.0000 0.0000 0.0000 7.2151" Properties=species:S:1:pos:R:3 pbc="T T T"
Tm 0.0000 0.0000 1.6155
Tm 0.0000 0.0000 5.5997
Sb 1.9464 1.9464 0.0000
Ce 1.9464 1.9464 3.6076
```

Magnetic moment ... 0.36 μB/cell
Space group ... P4/mmm


Entry c
## CeTm2Sb (PBE-GGA)

Data for a relaxed CeTm2Sb crystal.

```
4
Lattice="-0.9840 -0.5651 -4.4611 3.8806 -2.7960 -0.5018 -2.6481 -3.8681 1.0741" Properties=species:S:1:pos:R:3 pbc="T T T"
Tm 1.9403 -1.3980 -0.2509
Tm -1.3241 -1.9340 0.5370
Sb -0.4920 -0.2826 -2.2306
Ce 0.1242 -3.6146 -1.9444
```

Magnetic moment ... 0.38 μB/cell
Space group ... P4/mmm


The structure with the most favorable energy is entry c; the runner-up is 4.0 kJ/mol of atoms above it.


Entry a
## CeUSb2 (PBE-GGA)

Data for a relaxed CeUSb2 crystal.

```
4
Lattice="5.3557 0.0000 0.0000 2.6779 4.6382 0.0000 2.6779 1.5461 4.3729" Properties=species:S:1:pos:R:3 pbc="T T T"
Sb 8.0336 4.6382 3.2797
Sb 2.6779 1.5461 1.0932
Ce 0.0000 0.0000 0.0000
U 5.3557 3.0921 2.1865
```

Magnetic moment ... 3.90 μB/cell
Space group ... Fm-3m


Entry b
## CeUSb2 (PBE-GGA)

Data for a relaxed CeUSb2 crystal.

```
4
Lattice="4.2277 0.0000 1.1972 1.9444 3.7541 1.1972 0.0686 0.0417 7.8215" Properties=species:S:1:pos:R:3 pbc="T T T"
Ce 3.1203 1.8979 5.1079
Sb 1.5733 0.9569 2.5076
Sb 4.6674 2.8389 7.7082
U 0.0000 0.0000 0.0000
```

Magnetic moment ... 3.57 μB/cell
Space group ... R-3m


Entry c
## CeUSb2 (PBE-GGA)

Data for a relaxed CeUSb2 crystal.

```
4
Lattice="3.2044 0.0000 0.0000 1.6022 2.7751 0.0000 1.6022 0.9250 11.8393" Properties=species:S:1:pos:R:3 pbc="T T T"
Sb 1.6022 0.9250 8.6120
Sb 4.8066 2.7751 3.2273
Ce 0.0000 0.0000 0.0000
U 3.2044 1.8501 5.9197
```

Magnetic moment ... 2.48 μB/cell
Space group ... R-3m


The structure with the most favorable energy is entry b; the runner-up is 10.4 kJ/mol of atoms above it.